No. 1
DFT (PBE-GGA) results for a relaxed structure of TmSc2I6.

Cell: 4.049 8.682 11.205 Å, 115.26 90.00 103.49°
Each line ends with the local moment (μB).
Atoms (fractional coordinates):
1 Tm 0.000 0.000 0.500  -0.07
2 Sc 0.685 0.369 0.863  0.45
3 Sc 0.315 0.631 0.137  0.45
4 I 0.316 0.631 0.878  0.00
5 I 0.684 0.369 0.122  0.00
6 I 0.963 0.926 0.212  0.00
7 I 0.645 0.291 0.560  0.00
8 I 0.037 0.074 0.788  0.00
9 I 0.355 0.709 0.440  0.00

Calculated values
raw formation energy	-1120	meV/atom



No. 2
DFT (PBE-GGA) results for a relaxed structure of PrInTe2.

Cell: 4.458 4.458 8.805 Å, 75.33 75.33 60.00°
Atoms (fractional coordinates):
1 Pr 0.499 0.499 0.502
2 In 0.666 0.666 0.001
3 Te 0.090 0.090 0.730
4 Te 0.245 0.245 0.266

Calculated values
raw formation energy	-921	meV/atom



No. 3
DFT (PBE-GGA) results for a relaxed structure of Be2CrSi.

Cell: 2.390 2.390 7.525 Å, 90.00 90.00 90.03°
Atoms (fractional coordinates):
1 Cr 0.500 0.500 0.250
2 Si 0.500 0.500 0.750
3 Be 0.000 0.000 0.018
4 Be 0.000 0.000 0.482

Calculated values
raw formation energy	233	meV/atom



No. 4
DFT (PBE-GGA) results for a relaxed structure of TaGaIr.

Cell: 4.278 4.278 4.278 Å, 60.00 60.00 60.00°
Atoms (fractional coordinates):
1 Ir 0.250 0.250 0.250
2 Ga 0.000 0.000 0.000
3 Ta 0.500 0.500 0.500

Calculated values
calculated formation energy	-0.408	eV/atom



No. 5
DFT (PBE-GGA) results for a relaxed structure of BaReAu2.

Cell: 5.547 5.547 9.093 Å, 72.24 72.24 90.00°
Atoms (fractional coordinates):
1 Re 0.000 0.000 0.000
2 Re 0.750 0.250 0.500
3 Au 0.773 0.125 0.250
4 Au 0.977 0.625 0.250
5 Au 0.375 0.227 0.750
6 Au 0.875 0.023 0.750
7 Ba 0.500 0.500 0.000
8 Ba 0.250 0.750 0.500

Calculated values
calculated formation energy	0.573	eV/atom
ΔE to the lowest computed polymorph	342	meV/atom



No. 6
DFT (PBE-GGA) results for a relaxed structure of Pa2CoPt2.

Cell: 4.596 4.596 5.538 Å, 90.00 90.00 120.00°
Atoms (fractional coordinates):
1 Pa 0.333 0.667 0.500
2 Pa 0.667 0.333 0.000
3 Co 0.333 0.667 0.000
4 Pt 0.000 0.000 0.249
5 Pt 0.000 0.000 0.751

Calculated values
calculated formation energy	-0.710	eV/atom